(1)
A relaxed PmYMgRh crystal, computed with PBE. Values from VASP.

Computed properties:
- Calculated volume: 23.819 A^3/atom
- Electronic total energy: -5.41 eV/atom
- Energy of formation from the pure elements: -364.8 meV/atom
- Density of states at the Fermi level: 1.86 states/eV per cell

Quantum ESPRESSO input file:
```
&SYSTEM
  ibrav = 0, nat = 4, ntyp = 4
/
ATOMIC_SPECIES
Pm 145.00 Pm.upf
Y 88.91 Y.upf
Mg 24.30 Mg.upf
Rh 102.91 Rh.upf
ATOMIC_POSITIONS angstrom
Pm 0.000 0.000 0.000
Y 3.625 3.625 3.625
Mg 5.438 5.438 5.438
Rh 1.813 1.813 1.813
CELL_PARAMETERS angstrom
0.000 3.625 3.625
3.625 0.000 3.625
3.625 3.625 0.000
```

(2)
A relaxed Ir2RuSO crystal, computed with PBE. Values from VASP.

Computed properties:
- ΔE_f (raw): 1926 meV/atom
- Calculated volume: 20.015 A^3/atom
- Electronic total energy: -5.29 eV/atom
- Energy above the lowest structure with this stoichiometry: 983.7 meV/atom
- Density of states at the Fermi level: 6.56 states/eV per cell

Quantum ESPRESSO input file:
```
&SYSTEM
  ibrav = 0, nat = 5, ntyp = 4
/
ATOMIC_SPECIES
Ir 192.22 Ir.upf
Ru 101.07 Ru.upf
S 32.06 S.upf
O 16.00 O.upf
ATOMIC_POSITIONS angstrom
Ir 0.000 2.398 0.000
Ir 2.398 0.000 0.000
Ru 0.000 0.000 0.000
S 0.000 0.000 2.176
O 2.398 2.398 2.176
CELL_PARAMETERS angstrom
4.796 0.000 0.000
0.000 4.796 0.000
0.000 0.000 4.352
```